No. 1
The following is a GGA-PBE calculation of a relaxed BaNaAgCl6 crystal, from Alexandria.

Results
The calculation puts the energy relative to the elements, uncorrected at -1294 meV per atom.

abc: 5.528 6.421 7.838
angles: 89.16 81.81 74.67
Fractional coordinates of all 9 atoms:
1 Ba 0.000 0.000 0.000
2 Na 0.306 0.345 0.441
3 Ag 0.675 0.719 0.557
4 Cl 0.030 0.811 0.383
5 Cl 0.343 0.610 0.734
6 Cl 0.448 0.064 0.171
7 Cl 0.525 0.051 0.712
8 Cl 0.801 0.379 0.412
9 Cl 0.941 0.508 0.924


No. 2
The following is a GGA-PBE calculation of a relaxed BaNiAgCl6 crystal, from Alexandria.

Results
The calculation puts the energy relative to the elements, uncorrected at -1090 meV per atom.

abc: 6.682 6.682 6.489
angles: 90.00 90.00 120.00
Fractional coordinates of all 9 atoms:
1 Ba 0.000 0.000 0.000
2 Ni 0.667 0.333 0.500
3 Ag 0.333 0.667 0.500
4 Cl 0.392 0.035 0.713
5 Cl 0.392 0.357 0.287
6 Cl 0.643 0.035 0.287
7 Cl 0.643 0.608 0.713
8 Cl 0.965 0.357 0.713
9 Cl 0.965 0.608 0.287


No. 3
The following is a GGA-PBE calculation of a relaxed BaNi2AgCl crystal, from Alexandria.

Results
The calculation puts the energy relative to the elements, uncorrected at 347 meV per atom.

abc: 4.398 4.398 6.150
angles: 90.00 90.00 90.00
Fractional coordinates of all 5 atoms:
1 Ba 0.000 0.000 0.000
2 Ni 0.000 0.500 0.500
3 Ni 0.500 0.000 0.500
4 Ag 0.500 0.500 0.000
5 Cl 0.500 0.500 0.500


No. 4
The following is a GGA-PBE calculation of a relaxed BaNi2AgCl8 crystal, from Alexandria.

Results
The calculation puts the energy relative to the elements, uncorrected at -929 meV per atom.

abc: 6.435 6.435 9.062
angles: 90.00 90.00 120.00
Fractional coordinates of all 12 atoms:
1 Ba 0.000 0.000 0.000
2 Ni 0.333 0.667 0.751
3 Ni 0.667 0.333 0.249
4 Ag 0.000 0.000 0.500
5 Cl 0.015 0.319 0.698
6 Cl 0.304 0.985 0.698
7 Cl 0.319 0.304 0.302
8 Cl 0.333 0.667 0.996
9 Cl 0.667 0.333 0.004
10 Cl 0.681 0.696 0.698
11 Cl 0.696 0.015 0.302
12 Cl 0.985 0.681 0.302


No. 5
The following is a GGA-PBE calculation of a relaxed BaNiAg2Cl8 crystal, from Alexandria.

Results
The calculation puts the energy relative to the elements, uncorrected at -904 meV per atom.

abc: 6.037 6.460 8.612
angles: 76.45 83.44 82.60
Fractional coordinates of all 12 atoms:
1 Ba 0.000 0.000 0.000
2 Ni 0.000 0.000 0.500
3 Ag 0.448 0.461 0.252
4 Ag 0.552 0.539 0.748
5 Cl 0.148 0.767 0.713
6 Cl 0.212 0.805 0.326
7 Cl 0.275 0.212 0.486
8 Cl 0.391 0.279 0.980
9 Cl 0.609 0.721 0.020
10 Cl 0.725 0.788 0.514
11 Cl 0.788 0.195 0.674
12 Cl 0.852 0.233 0.287


No. 6
The following is a GGA-PBE calculation of a relaxed BaNpAgCl6 crystal, from Alexandria.

Results
The calculation puts the energy relative to the elements, uncorrected at -1639 meV per atom.

abc: 7.470 7.470 11.782
angles: 90.00 90.00 120.00
Fractional coordinates of all 18 atoms:
1 Ba 0.333 0.667 0.250
2 Ba 0.667 0.333 0.750
3 Np 0.333 0.667 0.750
4 Np 0.667 0.333 0.250
5 Ag 0.000 0.000 0.000
6 Ag 0.000 0.000 0.500
7 Cl 0.038 0.350 0.622
8 Cl 0.038 0.687 0.878
9 Cl 0.313 0.350 0.878
10 Cl 0.313 0.962 0.622
11 Cl 0.350 0.038 0.122
12 Cl 0.350 0.313 0.378
13 Cl 0.650 0.687 0.622
14 Cl 0.650 0.962 0.878
15 Cl 0.687 0.038 0.378
16 Cl 0.687 0.650 0.122
17 Cl 0.962 0.313 0.122
18 Cl 0.962 0.650 0.378


Quick rundown of total moment, same order as above: 0.00, 0.91, 0.00, 5.01, 0.00, 4.00 μB per formula unit